Run w
VASP calculation (PBE-GGA) on an optimized crystal structure of CsHoSO.

extended XYZ file:
```
16
Lattice="8.549 0.000 0.000 0.000 9.646 0.000 0.000 0.000 5.567" Properties=species:S:1:pos:R:3 pbc="T T T"
Cs 0.954 0.987 0.000
Cs 3.320 0.987 2.784
Cs 5.229 8.659 0.000
Cs 7.595 8.659 2.784
Ho 0.638 6.085 0.022
Ho 3.636 6.085 2.806
Ho 4.913 3.561 0.022
Ho 7.911 3.561 2.806
S 0.912 5.793 2.808
S 3.362 5.793 0.025
S 5.187 3.853 2.808
S 7.637 3.853 0.025
O 0.214 1.785 2.789
O 4.061 1.785 0.005
O 4.489 7.861 2.789
O 8.335 7.861 0.005
```

Space group = Pca2_1, No. 29
Crystal system = orthorhombic

***

Run x
VASP calculation (PBE-GGA) on an optimized crystal structure of CsHoSO.

extended XYZ file:
```
4
Lattice="1.875 1.083 7.534 -1.875 1.083 7.534 0.000 -2.165 7.534" Properties=species:S:1:pos:R:3 pbc="T T T"
Cs 0.000 0.000 0.000
Ho 0.000 0.000 10.955
S 0.000 0.000 5.063
O 0.000 0.000 17.537
```

Space group = R3m, No. 160
Crystal system = trigonal

***

Run y
VASP calculation (PBE-GGA) on an optimized crystal structure of CsHoSO.

extended XYZ file:
```
8
Lattice="4.376 0.000 0.000 0.000 8.603 0.000 0.000 0.000 6.813" Properties=species:S:1:pos:R:3 pbc="T T T"
Cs 0.000 1.629 0.000
Cs 0.000 6.975 3.406
Ho 2.188 3.288 3.022
Ho 2.188 5.315 6.428
S 0.000 1.870 3.444
S 0.000 6.733 0.038
O 2.188 3.701 0.955
O 2.188 4.902 4.362
```

Space group = Pmc2_1, No. 26
Crystal system = orthorhombic

***

Run z
VASP calculation (PBE-GGA) on an optimized crystal structure of CsHoSO.

extended XYZ file:
```
8
Lattice="4.649 0.000 0.000 0.000 4.649 0.000 0.000 0.000 10.600" Properties=species:S:1:pos:R:3 pbc="T T T"
Cs 1.162 3.487 0.000
Cs 3.487 1.162 0.000
Ho 1.162 1.162 4.716
Ho 3.487 3.487 5.884
S 1.162 1.162 2.241
S 3.487 3.487 8.359
O 1.162 3.487 5.300
O 3.487 1.162 5.300
```

Space group = P4/nmm, No. 129
Crystal system = tetragonal

***

Relative stability in meV per atom, measured from the most stable structure: run w 145; run x 52; run y 0; run z 290